Entry 1:
VASP calculation (PBE) on a geometry-optimized HoCu6 structure.

POSCAR file:
```
HoCu6
1.0
-2.376 -4.329 1.001
5.365 -1.640 5.641
-5.682 4.683 6.766
Ho Cu
4 24
Cartesian
-5.798 0.736 8.443
3.104 -2.022 4.965
-1.011 -1.819 8.758
-1.682 0.532 4.650
1.339 -4.149 4.260
-4.033 2.862 9.148
-3.982 -1.154 4.581
1.288 -0.133 8.826
1.228 0.153 3.756
-2.767 0.664 9.165
2.092 -2.223 7.854
-5.940 -1.167 6.040
-3.921 -1.440 9.651
0.073 -1.950 4.243
-4.785 0.937 5.554
3.246 -0.120 7.367
-0.636 -0.641 2.058
-2.057 -0.645 11.349
0.857 -0.482 6.294
-3.551 -0.805 7.113
-0.516 1.125 9.983
-2.177 -2.412 3.425
-3.113 1.875 7.061
0.420 -3.162 6.347
-0.933 0.765 7.435
-1.761 -2.051 5.973
-5.412 3.066 6.754
2.718 -4.353 6.653
```

Calculated values
M_tot = 0.00 μB per formula unit
Energy of formation from the pure elements = -0.163 eV/atom
Symmetry = Pnma (62)

***

Entry 2:
VASP calculation (PBE) on a geometry-optimized Al2TcPb2 structure.

POSCAR file:
```
Al2TcPb2
1.0
-3.556 -2.119 -5.428
-3.132 -4.667 3.874
-3.432 3.149 1.020
Pb Tc Al
4 2 4
Cartesian
-4.449 -1.943 2.175
-6.700 -3.707 0.046
-5.671 -1.694 -2.710
-3.420 0.071 -0.581
0.000 0.000 0.000
-3.344 -3.393 -0.777
-3.928 -4.730 1.388
-5.060 -4.827 -2.125
-2.761 -2.056 -2.942
-1.628 -1.959 0.571
```

Calculated values
M_tot = 1.59 μB per formula unit
Energy of formation from the pure elements = 0.455 eV/atom
Symmetry = P4/mbm (127)

***

Entry 3:
VASP calculation (PBE) on a geometry-optimized Pr2HoEr5Tm structure.

POSCAR file:
```
Pr2HoEr5Tm
1.0
-6.941 3.738 -3.310
-0.307 -5.977 -6.106
-0.970 -3.341 9.305
Pr Ho Er Tm
4 2 10 2
Cartesian
-0.941 -1.835 -2.721
-4.331 1.603 -2.773
-2.917 -3.842 -6.644
-6.307 -0.404 -6.695
-2.297 -2.230 2.298
-5.921 -3.350 -2.410
-6.844 -0.037 -3.034
-5.202 -0.842 3.657
-1.374 -5.542 2.923
-1.710 -2.290 5.743
-4.866 -4.094 0.837
-6.508 -3.290 -5.854
-3.352 -1.485 -0.949
-3.016 -4.737 -3.769
-3.624 -1.120 -4.708
0.000 0.000 0.000
-2.451 -5.219 -0.755
-5.768 -0.361 0.643
```

Calculated values
M_tot = 0.00 μB per formula unit
Energy of formation from the pure elements = 0.277 eV/atom
Symmetry = I4/mcm (140)

***

Entry 4:
VASP calculation (PBE) on a geometry-optimized Na3Y2SnO6 structure.

POSCAR file:
```
Na3Y2SnO6
1.0
-5.832 -0.552 0.873
2.386 -1.633 -5.169
1.938 -4.463 3.434
Na Y Sn O
3 2 1 6
Cartesian
2.032 -3.690 -2.480
-3.540 -2.958 1.617
-0.754 -3.324 -0.431
-0.351 -1.273 -3.157
-3.095 -0.912 -1.139
0.000 0.000 0.000
-2.472 -4.993 0.434
-2.125 -2.566 -2.431
0.964 -1.655 -1.296
0.269 -5.353 -1.581
0.617 -4.082 1.569
-1.777 -1.295 0.719
```

Calculated values
M_tot = 0.00 μB per formula unit
DFT total energy = -6.51 eV per atom
Symmetry = C2/m (12)

***

Entry 5:
VASP calculation (PBE) on a geometry-optimized LiCaSi structure.

POSCAR file:
```
LiCaSi
1.0
5.670 0.000 -0.004
0.000 4.640 0.000
-2.328 0.000 9.884
Li Ca Si
4 4 4
Cartesian
0.720 0.000 5.183
1.884 2.320 0.241
3.552 0.000 5.180
4.716 2.320 0.238
-0.109 0.000 2.209
-1.273 2.320 7.151
1.571 0.000 8.149
2.735 2.320 3.207
2.793 0.000 1.098
1.629 2.320 6.040
-1.332 0.000 9.257
-0.168 2.320 4.315
```

Calculated values
M_tot = 0.00 μB per formula unit
DFT total energy = -3.43 eV per atom
Symmetry = Cm (8)

***

Entry 6:
VASP calculation (PBE) on a geometry-optimized Sr3Ca2Cu structure.

POSCAR file:
```
Sr3Ca2Cu
1.0
0.044 5.949 -0.748
4.582 -0.902 -6.910
-12.263 -2.951 -0.150
Sr Ca Cu
6 4 2
Cartesian
3.459 2.297 -5.556
1.167 2.750 -2.102
-5.757 2.236 -6.581
0.411 -0.592 -4.682
-8.048 2.688 -3.126
-1.880 -0.141 -1.227
-5.199 -0.385 -3.368
-2.908 -0.836 -6.823
-4.730 2.932 -0.985
-2.439 2.481 -4.441
1.146 -0.225 -1.728
3.480 5.272 -5.930
```

Calculated values
M_tot = 0.00 μB per formula unit
Energy of formation from the pure elements = 0.023 eV/atom
Symmetry = C2/m (12)

***

Entry 7:
VASP calculation (PBE) on a geometry-optimized AgBSbTe2 structure.

POSCAR file:
```
AgBSbTe2
1.0
-1.354 -0.884 5.286
2.969 -4.663 -0.019
4.209 2.674 1.525
Sb B Te Ag
1 1 2 1
Cartesian
2.104 1.337 0.763
2.912 -1.436 3.396
1.485 -2.331 -0.009
-0.677 -0.442 2.643
0.000 0.000 0.000
```

Calculated values
M_tot = 0.00 μB per formula unit
DFT total energy = -2.54 eV per atom
Symmetry = P4/mmm (123)

***

Entry 8:
VASP calculation (PBE) on a geometry-optimized MgCd4Se structure.

POSCAR file:
```
MgCd4Se
1.0
-4.018 -3.890 1.789
-4.743 -1.050 -3.299
-0.558 -5.138 -2.788
Mg Cd Se
1 4 1
Cartesian
-6.990 -7.558 -3.223
-5.503 -5.723 -0.719
-3.776 -6.346 -3.004
-5.864 -4.305 -3.259
-3.497 -3.781 -1.613
0.000 0.000 0.000
```

Calculated values
M_tot = 0.00 μB per formula unit
DFT total energy = -1.35 eV per atom
Symmetry = F-43m (216)

***

Entry 9:
VASP calculation (PBE) on a geometry-optimized NaPmSeO4 structure.

POSCAR file:
```
NaPmSeO4
1.0
-1.599 -2.326 -6.613
4.486 -2.909 -3.970
-0.953 -6.437 -1.414
Na Pm Se O
2 2 2 8
Cartesian
-1.276 -4.382 -4.014
-0.477 -3.219 -0.707
0.000 0.000 0.000
1.766 -4.673 -2.692
1.825 -4.268 -6.758
0.108 -7.404 -5.240
1.326 -9.163 -8.824
1.800 -7.555 -5.596
0.134 -4.117 -6.402
0.608 -2.509 -3.173
2.791 -4.286 -4.728
1.868 -5.629 -8.546
0.066 -6.043 -3.451
-0.857 -7.386 -7.269
```

Calculated values
M_tot = 0.00 μB per formula unit
DFT total energy = -5.97 eV per atom
Symmetry = Imma (74)

***

Entry 10:
VASP calculation (PBE) on a geometry-optimized Pm8Bi2C3 structure.

POSCAR file:
```
Pm8Bi2C3
1.0
6.616 0.000 0.219
0.000 7.481 0.000
-2.413 -3.741 7.521
Pm Bi C
8 2 3
Cartesian
5.662 3.741 1.651
-1.459 0.000 6.089
5.479 0.000 1.592
-1.276 3.741 6.148
2.072 1.943 6.302
2.072 -1.943 6.302
2.132 5.684 1.438
2.132 1.798 1.438
0.917 0.000 3.885
3.287 3.741 3.855
3.308 0.000 0.109
0.000 1.883 0.000
0.000 5.598 0.000
```

Calculated values
M_tot = 0.00 μB per formula unit
Energy of formation from the pure elements = -0.327 eV/atom
Symmetry = C2/m (12)

***

Entry 11:
VASP calculation (PBE) on a geometry-optimized AcNd2Tm4 structure.

POSCAR file:
```
AcNd2Tm4
1.0
-7.446 4.096 1.047
-3.635 -3.940 8.073
7.099 5.578 -2.371
Ac Nd Tm
2 4 8
Cartesian
0.034 0.733 4.209
5.269 4.332 -0.614
-6.695 1.139 4.745
-1.493 4.889 -0.187
-2.533 2.450 2.267
1.059 3.209 1.747
-5.760 3.687 2.143
-3.419 -0.106 4.869
-3.159 5.949 2.946
-4.031 3.490 5.343
-4.357 -2.578 7.314
1.913 5.718 -0.719
-0.704 4.272 4.837
-8.501 2.181 7.776
```

Calculated values
M_tot = 0.00 μB per formula unit
Energy of formation from the pure elements = 0.038 eV/atom
Symmetry = P1 (1)

***

Entry 12:
VASP calculation (PBE) on a geometry-optimized La4InPt structure.

POSCAR file:
```
La4InPt
1.0
-5.411 -8.616 0.777
0.111 -5.327 8.703
-8.312 -0.289 5.912
La In Pt
16 4 4
Cartesian
-5.448 -5.696 6.160
-7.608 -9.136 6.470
-5.403 -7.823 9.634
-8.766 -5.811 8.520
-10.799 -7.999 10.845
-9.619 -13.350 12.243
-7.498 -9.973 11.938
-12.920 -11.376 11.149
-9.663 -11.262 8.833
-10.756 -10.087 14.255
-7.751 -2.835 6.577
-5.862 -11.398 8.815
-2.468 -5.994 8.327
-11.144 -8.238 7.065
-5.931 -8.057 3.357
-7.681 -6.176 12.035
-2.316 -2.421 2.619
-4.045 -5.174 2.867
-2.280 -4.123 5.399
-4.971 -2.514 4.507
-8.272 -8.649 9.354
-5.941 -4.937 9.019
-8.320 -6.354 5.604
-4.691 -8.525 6.807
```

Calculated values
M_tot = 0.00 μB per formula unit
Energy of formation from the pure elements = -0.617 eV/atom
Symmetry = F-43m (216)

***

no.,D(E_F) (states/eV per cell)
1,8.98
2,7.19
3,23.52
4,4.80
5,4.42
6,10.53
7,4.44
8,3.90
9,0.00
10,9.61
11,22.28
12,32.86